# CaCu2Os

A geometry-optimized CaCu2Os structure (PBE-GGA, the Alexandria database).

Summary:
Energy of formation from the pure elements (meV per atom): 360
Total magnetic moment (μB per cell): 0.00
V (Å³/cell): 62.98
ΔE to the lowest computed polymorph (meV/atom): 12
DOS(E_F) (states/eV/cell): 2.0

abc: 4.4586 2.7445 5.2395
angles: 79.22 90.00 90.00
Atoms (fractional coordinates):
Cu (0.5000, 0.1103, 0.2839)
Cu (0.0000, 0.1568, 0.0053)
Ca (0.5000, 0.7455, 0.7806)
Os (0.0000, 0.4875, 0.4303)

---

# CaCuOs2

A geometry-optimized CaCuOs2 structure (PBE-GGA, the Alexandria database).

Summary:
Energy of formation from the pure elements (meV per atom): 299
Total magnetic moment (μB per cell): 0.00
V (Å³/cell): 66.53
ΔE to the lowest computed polymorph (meV/atom): 0
DOS(E_F) (states/eV/cell): 2.7

abc: 2.9215 2.9215 7.7945
angles: 90.00 90.00 90.00
Atoms (fractional coordinates):
Cu (0.5000, 0.5000, 0.7904)
Os (0.5000, 0.5000, 0.2068)
Os (0.0000, 0.0000, 0.0023)
Ca (0.0000, 0.0000, 0.5006)

---

# CaCuOs2

A geometry-optimized CaCuOs2 structure (PBE-GGA, the Alexandria database).

Summary:
Energy of formation from the pure elements (meV per atom): 553
Total magnetic moment (μB per cell): 0.00
V (Å³/cell): 63.82
ΔE to the lowest computed polymorph (meV/atom): 254
DOS(E_F) (states/eV/cell): 4.1

abc: 4.4856 4.4856 4.4856
angles: 60.00 60.00 60.00
Atoms (fractional coordinates):
Cu (0.7500, 0.7500, 0.7500)
Ca (0.5000, 0.5000, 0.5000)
Os (0.2500, 0.2500, 0.2500)
Os (0.0000, 0.0000, 0.0000)